1.
The following is a DFT calculation (GGA-PBE) of crystalline YTl2Pb at its relaxed geometry.

Unit cell a=5.017 b=5.017 c=6.535 alpha=67.42 beta=67.42 gamma=60.00
Element x y z (fractional)
Y (0.679, 0.679, 0.964)
Tl (0.070, 0.070, 0.790)
Tl (0.262, 0.262, 0.214)
Pb (0.490, 0.490, 0.531)

Output
M_tot (μB/cell): 0.00
Formation energy (eV per atom): -0.02


2.
The following is a DFT calculation (GGA-PBE) of crystalline HoCd3Ag3 at its relaxed geometry.

Unit cell a=7.450 b=7.450 c=7.450 alpha=90.00 beta=90.00 gamma=90.00
Element x y z (fractional)
Ho (0.500, 0.500, 0.500)
Ho (0.000, 0.000, 0.000)
Ag (0.000, 0.250, 0.500)
Ag (0.000, 0.750, 0.500)
Ag (0.500, 0.000, 0.750)
Ag (0.750, 0.500, 0.000)
Ag (0.500, 0.000, 0.250)
Ag (0.250, 0.500, 0.000)
Cd (0.250, 0.000, 0.500)
Cd (0.000, 0.500, 0.250)
Cd (0.500, 0.750, 0.000)
Cd (0.750, 0.000, 0.500)
Cd (0.000, 0.500, 0.750)
Cd (0.500, 0.250, 0.000)

Output
Offset from the most stable computed form (meV/atom): 639.1
M_tot (μB/cell): 0.00
Formation energy (eV per atom): 0.50


3.
The following is a DFT calculation (GGA-PBE) of crystalline TmPaGaIr at its relaxed geometry.

Unit cell a=4.939 b=4.939 c=4.939 alpha=60.00 beta=60.00 gamma=60.00
Element x y z (fractional)
Pa (0.000, 0.000, 0.000)
Tm (0.500, 0.500, 0.500)
Ga (0.250, 0.250, 0.250)
Ir (0.750, 0.750, 0.750)

Output
M_tot (μB/cell): 0.00
Formation energy (eV per atom): -0.49


4.
The following is a DFT calculation (GGA-PBE) of crystalline RbNaCd3 at its relaxed geometry.

Unit cell a=6.088 b=5.849 c=10.180 alpha=106.70 beta=90.00 gamma=90.00
Element x y z (fractional)
Rb (0.750, 0.204, 0.407)
Rb (0.250, 0.796, 0.593)
Na (0.750, 0.553, 0.107)
Na (0.250, 0.447, 0.893)
Cd (0.750, 0.631, 0.779)
Cd (0.750, 0.147, 0.779)
Cd (0.250, 0.853, 0.221)
Cd (0.250, 0.369, 0.221)
Cd (0.000, 0.000, 0.000)
Cd (0.500, 0.000, 0.000)

Output
Offset from the most stable computed form (meV/atom): 0.0
M_tot (μB/cell): 0.00
Formation energy (eV per atom): -0.07